1.
Here is Tm2B6Os at its PBEsol-relaxed geometry from Alexandria. Energies are from meta-GGA SCAN.

Values from the calculation:
Calculated density: 10.7 g/cm³
ΔE_f: -796 meV per atom

Cell and atoms, written as CIF:
```
data_Tm2B6Os
_space_group_name_H-M_alt 'P b a m'
_space_group_IT_number 55
_cell_length_a 9.0180
_cell_length_b 11.3731
_cell_length_c 3.5788
_cell_angle_alpha 90.00
_cell_angle_beta 90.00
_cell_angle_gamma 90.00
loop_
_space_group_symop_operation_xyz
'x,y,z'
'-x,-y,-z'
'-x,-y,z'
'x,y,-z'
'x+1/2,-y+1/2,-z'
'-x+1/2,y+1/2,z'
'-x+1/2,y+1/2,-z'
'x+1/2,-y+1/2,z'
loop_
_atom_site_label
_atom_site_fract_x
_atom_site_fract_y
_atom_site_fract_z
_atom_site_occupancy
Tm1 0.0564 0.1270 0.0000 1
Tm2 0.1790 0.4139 0.0000 1
B1 0.0184 0.2872 0.5000 1
B2 0.0533 0.5663 0.5000 1
B3 0.1062 0.9706 0.5000 1
B4 0.1308 0.8153 0.5000 1
B5 0.2086 0.2339 0.5000 1
B6 0.2488 0.5795 0.5000 1
Os1 0.1373 0.6787 0.0000 1
```



2.
Here is Ba2LiHg at its PBEsol-relaxed geometry from Alexandria. Energies are from meta-GGA SCAN.

Values from the calculation:
Calculated density: 5.6 g/cm³
ΔE_f: -337 meV per atom

Cell and atoms, written as CIF:
```
data_Ba2LiHg
_space_group_name_H-M_alt 'P 4/m m m'
_space_group_IT_number 123
_space_group_name_Hall '-P 4 2'
_cell_length_a 5.8385
_cell_length_b 5.8385
_cell_length_c 4.2149
_cell_angle_alpha 90.00
_cell_angle_beta 90.00
_cell_angle_gamma 90.00
loop_
_atom_site_label
_atom_site_fract_x
_atom_site_fract_y
_atom_site_fract_z
_atom_site_occupancy
Ba1 0.0000 0.5000 0.0000 1
Li1 0.0000 0.0000 0.5000 1
Hg1 0.5000 0.5000 0.5000 1
```



3.
Here is HfNiP2O at its PBEsol-relaxed geometry from Alexandria. Energies are from meta-GGA SCAN.

Values from the calculation:
Calculated density: 5.4 g/cm³
Calculated total energy: -1.5643 Ry per atom

Cell and atoms, written as CIF:
```
data_HfNiP2O
_space_group_name_H-M_alt 'P 4/m m m'
_space_group_IT_number 123
_space_group_name_Hall '-P 4 2'
_cell_length_a 5.0182
_cell_length_b 5.0182
_cell_length_c 3.8297
_cell_angle_alpha 90.00
_cell_angle_beta 90.00
_cell_angle_gamma 90.00
loop_
_atom_site_label
_atom_site_fract_x
_atom_site_fract_y
_atom_site_fract_z
_atom_site_occupancy
Hf1 0.0000 0.0000 0.0000 1
Ni1 0.5000 0.5000 0.5000 1
P1 0.0000 0.5000 0.0000 1
O1 0.0000 0.0000 0.5000 1
```



4.
Here is ReIr3 at its PBEsol-relaxed geometry from Alexandria. Energies are from meta-GGA SCAN.

Values from the calculation:
Calculated density: 22.4 g/cm³
ΔE_f: -120 meV per atom
Distance to the lowest polymorph of the same formula: 37 meV per atom

Cell and atoms, written as CIF:
```
data_ReIr3
_space_group_name_H-M_alt 'C m m m'
_space_group_IT_number 65
_space_group_name_Hall '-C 2 2'
_cell_length_a 5.4156
_cell_length_b 7.6967
_cell_length_c 2.7095
_cell_angle_alpha 90.00
_cell_angle_beta 90.00
_cell_angle_gamma 90.00
loop_
_atom_site_label
_atom_site_fract_x
_atom_site_fract_y
_atom_site_fract_z
_atom_site_occupancy
Re1 0.0000 0.0000 0.0000 1
Ir1 0.0000 0.5000 0.0000 1
Ir2 0.2500 0.2500 0.5000 1
```



5.
Here is TbHoIr2 at its PBEsol-relaxed geometry from Alexandria. Energies are from meta-GGA SCAN.

Values from the calculation:
Calculated density: 15.3 g/cm³
ΔE_f: -994 meV per atom

Cell and atoms, written as CIF:
```
data_TbHoIr2
_space_group_name_H-M_alt 'F m -3 m'
_space_group_IT_number 225
_space_group_name_Hall '-F 4 2 3'
_cell_length_a 6.7525
_cell_length_b 6.7525
_cell_length_c 6.7525
_cell_angle_alpha 90.00
_cell_angle_beta 90.00
_cell_angle_gamma 90.00
loop_
_atom_site_label
_atom_site_fract_x
_atom_site_fract_y
_atom_site_fract_z
_atom_site_occupancy
Tb1 0.0000 0.0000 0.0000 1
Ho1 0.0000 0.0000 0.5000 1
Ir1 0.2500 0.2500 0.2500 1
```



6.
Here is AlTc2Os at its PBEsol-relaxed geometry from Alexandria. Energies are from meta-GGA SCAN.

Values from the calculation:
Calculated density: 12.4 g/cm³
ΔE_f: -206 meV per atom

Cell and atoms, written as CIF:
```
data_AlTc2Os
_space_group_name_H-M_alt 'P 4/m m m'
_space_group_IT_number 123
_space_group_name_Hall '-P 4 2'
_cell_length_a 2.8580
_cell_length_b 2.8580
_cell_length_c 6.7623
_cell_angle_alpha 90.00
_cell_angle_beta 90.00
_cell_angle_gamma 90.00
loop_
_atom_site_label
_atom_site_fract_x
_atom_site_fract_y
_atom_site_fract_z
_atom_site_occupancy
Al1 0.0000 0.0000 0.0000 1
Tc1 0.5000 0.5000 0.2442 1
Os1 0.0000 0.0000 0.5000 1
```